No. 1
# PrNd2ReO8

An optimized crystal structure of PrNd2ReO8 (PBE, Alexandria).

ΔE_f (raw) in eV per formula unit: -31.8

abc: 5.2175 5.2175 7.0351
angles: 90.00 90.00 90.03
Closest atoms and distances in Å follow each position.
Positions (direct):
Pr: 0.0000 0.0000 0.0000  6 O 2.30-2.49
Nd: 0.5000 0.5000 0.2528  6 O 2.26-2.50
Nd: 0.5000 0.5000 0.7472  6 O 2.26-2.50
Re: 0.0000 0.0000 0.5000  6 O 1.89-1.92
O: 0.1778 0.1778 0.3010  1 Re 1.92
O: 0.1778 0.1778 0.6990  1 Re 1.92
O: 0.2564 0.7436 0.5000  1 Re 1.89
O: 0.3114 0.6886 0.0000  2 Nd 2.26, 1 Pr 2.30
O: 0.6886 0.3114 0.0000  2 Nd 2.26, 1 Pr 2.30
O: 0.7436 0.2564 0.5000  1 Re 1.89
O: 0.8222 0.8222 0.3010  1 Re 1.92
O: 0.8222 0.8222 0.6990  1 Re 1.92

No. 2
# Pr2NdReO8

An optimized crystal structure of Pr2NdReO8 (PBE, Alexandria).

ΔE_f (raw) in eV per formula unit: -31.7

abc: 5.2404 7.0357 5.2408
angles: 90.00 90.19 90.00
Closest atoms and distances in Å follow each position.
Positions (direct):
Pr: 0.0000 0.2469 0.0000  6 O 2.28-2.51
Pr: 0.0000 0.7531 0.0000  6 O 2.28-2.51
Nd: 0.5000 0.5000 0.5000  6 O 2.28-2.48
Re: 0.5000 0.0000 0.5000  6 O 1.89-1.92
O: 0.1907 0.5000 0.1925  2 Pr 2.28, 1 Nd 2.28
O: 0.2437 0.0000 0.2458  1 Re 1.89
O: 0.3246 0.1999 0.6769  1 Re 1.92
O: 0.3246 0.8001 0.6769  1 Re 1.92
O: 0.6754 0.1999 0.3231  1 Re 1.92
O: 0.6754 0.8001 0.3231  1 Re 1.92
O: 0.7563 0.0000 0.7542  1 Re 1.89
O: 0.8093 0.5000 0.8075  2 Pr 2.28, 1 Nd 2.28